[1]
A relaxed structure of Rb2Li2CeO4, computed with PBE.

The structure in CIF format:
```
data_Rb2Li2CeO4
_symmetry_space_group_name_H-M 'C 1 2/m 1'
_symmetry_Int_Tables_number 12
_symmetry_space_group_name_Hall '-C 2y'
_cell_length_a 12.7171
_cell_length_b 3.5863
_cell_length_c 6.6892
_cell_angle_alpha 90.00
_cell_angle_beta 110.74
_cell_angle_gamma 90.00
loop_
_atom_site_label
_atom_site_type_symbol
_atom_site_fract_x
_atom_site_fract_y
_atom_site_fract_z
Rb1 Rb 0.1420 0.0000 0.0714
Li1 Li 0.1818 0.5000 0.4831
Ce1 Ce 0.0000 0.0000 0.5000
O1 O 0.0188 0.5000 0.2959
O2 O 0.1894 0.0000 0.6248
```

Raw formation energy   -2191 meV/atom
Volume   285.3 Å³/cell

[2]
A relaxed structure of Rb3LiCe3O8, computed with PBE.

The structure in CIF format:
```
data_Rb3LiCe3O8
_symmetry_space_group_name_H-M 'R -3 m'
_symmetry_Int_Tables_number 166
_symmetry_space_group_name_Hall '-R 3 2"'
_cell_length_a 7.0811
_cell_length_b 7.0811
_cell_length_c 19.5249
_cell_angle_alpha 90.00
_cell_angle_beta 90.00
_cell_angle_gamma 120.00
loop_
_atom_site_label
_atom_site_type_symbol
_atom_site_fract_x
_atom_site_fract_y
_atom_site_fract_z
Rb1 Rb 0.0000 0.5000 0.0000
Li1 Li 0.0000 0.0000 0.5000
Ce1 Ce 0.0000 0.5000 0.5000
O1 O 0.0000 0.0000 0.2275
O2 O 0.0206 0.5103 0.7791
```

Raw formation energy   -2574 meV/atom
Volume   847.8 Å³/cell

[3]
A relaxed structure of LiCe2RhO5, computed with PBE.

The structure in CIF format:
```
data_LiCe2RhO5
_symmetry_space_group_name_H-M 'P 4/m b m'
_symmetry_Int_Tables_number 127
_symmetry_space_group_name_Hall '-P 4 2ab'
_cell_length_a 6.6896
_cell_length_b 6.6896
_cell_length_c 5.6989
_cell_angle_alpha 90.00
_cell_angle_beta 90.00
_cell_angle_gamma 90.00
loop_
_atom_site_label
_atom_site_type_symbol
_atom_site_fract_x
_atom_site_fract_y
_atom_site_fract_z
Li1 Li 0.0000 0.0000 0.0000
Ce1 Ce 0.1770 0.3230 0.5000
Rh1 Rh 0.0000 0.5000 0.0000
O1 O 0.0000 0.0000 0.5000
O2 O 0.1413 0.6413 0.2606
```

Raw formation energy   -2380 meV/atom
Volume   255.0 Å³/cell

[4]
A relaxed structure of LiCeRuO6, computed with PBE.

The structure in CIF format:
```
data_LiCeRuO6
_symmetry_space_group_name_H-M 'P 42 n m'
_symmetry_Int_Tables_number 102
_symmetry_space_group_name_Hall 'P 4n -2n'
_cell_length_a 4.8435
_cell_length_b 4.8435
_cell_length_c 9.9745
_cell_angle_alpha 90.00
_cell_angle_beta 90.00
_cell_angle_gamma 90.00
loop_
_atom_site_label
_atom_site_type_symbol
_atom_site_fract_x
_atom_site_fract_y
_atom_site_fract_z
Li1 Li 0.0000 0.0000 0.0000
Ce1 Ce 0.0000 0.0000 0.3567
Ru1 Ru 0.0000 0.0000 0.6787
O1 O 0.1916 0.1916 0.8316
O2 O 0.1941 0.1941 0.5438
O3 O 0.2328 0.2328 0.1874
```

Raw formation energy   -1686 meV/atom
Volume   234.0 Å³/cell